This record from Alexandria describes a geometry-optimized RbAlS3 structure. The functional is PBE.

Cell: 6.4905 7.3957 7.3957 Å, 112.75 104.29 104.29°
Closest atoms and distances in Å follow each position.
Element x y z (fractional)
Al  0.9208  0.7256  0.7736  4 S 2.25-2.30
Al  0.4208  0.7736  0.7256  4 S 2.25-2.30
S  0.0510  0.6531  0.5091  2 Al 2.25
S  0.5510  0.5091  0.6531  2 Al 2.25
S  0.1557  0.7055  0.0449  1 S 2.11, 1 Al 2.28
S  0.6557  0.0449  0.7055  1 S 2.11, 1 Al 2.28
S  0.9539  0.0734  0.9288  1 S 2.11, 1 Al 2.30
S  0.4539  0.9288  0.0734  1 S 2.11, 1 Al 2.30
Rb  0.0172  0.1105  0.4336  7 S 3.44-3.77
Rb  0.5172  0.4336  0.1105  7 S 3.44-3.77

Results
* SG: Cc (9)
* calculated density: 2.36 g cm⁻³
* offset from the most stable computed form: 0 meV/atom
* Fermi-level density of states: 0.000 states/eV per cell

---

This record from Alexandria describes a geometry-optimized RbAl6S8 structure. The functional is PBE.

Cell: 6.8120 6.8120 6.8120 Å, 90.41 90.41 90.41°
Closest atoms and distances in Å follow each position.
Element x y z (fractional)
S  0.2882  0.5938  0.8694  4 Al 2.44-2.50
S  0.7118  0.4062  0.1306  4 Al 2.44-2.50
S  0.2604  0.2604  0.2604  3 Al 2.31
S  0.7396  0.7396  0.7396  3 Al 2.31
S  0.1306  0.7118  0.4062  4 Al 2.44-2.50
S  0.8694  0.2882  0.5938  4 Al 2.44-2.50
S  0.4062  0.1306  0.7118  4 Al 2.44-2.50
S  0.5938  0.8694  0.2882  4 Al 2.44-2.50
Al  0.3957  0.5684  0.2110  5 S 2.31-2.50
Al  0.4316  0.7890  0.6043  5 S 2.31-2.50
Al  0.5684  0.2110  0.3957  5 S 2.31-2.50
Al  0.2110  0.3957  0.5684  5 S 2.31-2.50
Al  0.6043  0.4316  0.7890  5 S 2.31-2.50
Al  0.7890  0.6043  0.4316  5 S 2.31-2.50
Rb  0.0000  0.0000  0.0000  2 S 3.05

Results
* final energy: -68.586 eV/cell
* SG: R-3 (148)
* calculated density: 2.65 g cm⁻³
* Fermi-level density of states: 6.334 states/eV per cell

---

This record from Alexandria describes a geometry-optimized Rb6AlS4 structure. The functional is PBE.

Cell: 7.9621 10.5677 10.5677 Å, 120.00 90.00 90.00°
Closest atoms and distances in Å follow each position.
Element x y z (fractional)
S  0.3377  0.7862  0.2138  1 Al 2.31
S  0.3377  0.4275  0.2138  1 Al 2.31
S  0.8377  0.2138  0.4275  1 Al 2.31
S  0.4514  0.3333  0.6667  1 Al 2.33
S  0.3377  0.7862  0.5725  1 Al 2.31
S  0.9514  0.6667  0.3333  1 Al 2.33
S  0.8377  0.5725  0.7862  1 Al 2.31
S  0.8377  0.2138  0.7862  1 Al 2.31
Al  0.2437  0.6667  0.3333  4 S 2.31-2.33
Al  0.7437  0.3333  0.6667  4 S 2.31-2.33
Rb  0.1403  0.4693  0.9387  5 S 3.37-3.52, 1 Al 3.70
Rb  0.6403  0.5307  0.4693  5 S 3.37-3.52, 1 Al 3.70
Rb  0.4544  0.1361  0.8639  4 S 3.37-3.61
Rb  0.4544  0.1361  0.2722  4 S 3.37-3.61
Rb  0.9544  0.8639  0.7278  4 S 3.37-3.61
Rb  0.6403  0.9387  0.4693  5 S 3.37-3.52, 1 Al 3.70
Rb  0.9544  0.8639  0.1361  4 S 3.37-3.61
Rb  0.6403  0.5307  0.0613  5 S 3.37-3.52, 1 Al 3.70
Rb  0.1403  0.4693  0.5307  5 S 3.37-3.52, 1 Al 3.70
Rb  0.4544  0.7278  0.8639  4 S 3.37-3.61
Rb  0.9544  0.2722  0.1361  4 S 3.37-3.61
Rb  0.1403  0.0613  0.5307  5 S 3.37-3.52, 1 Al 3.70

Results
* final energy: -75.638 eV/cell
* SG: P6_3mc (186)
* calculated density: 2.88 g cm⁻³
* Fermi-level density of states: 2.849 states/eV per cell

---

This record from Alexandria describes a geometry-optimized RbAlS3 structure. The functional is PBE.

Cell: 4.8112 4.8112 4.8112 Å, 90.00 90.00 90.00°
Closest atoms and distances in Å follow each position.
Element x y z (fractional)
S  0.0000  0.5000  0.0000  2 Al 2.41
S  0.0000  0.0000  0.5000  2 Al 2.41
S  0.5000  0.0000  0.0000  2 Al 2.41
Al  0.0000  0.0000  0.0000  6 S 2.41
Rb  0.5000  0.5000  0.5000  12 S 3.40

Results
* SG: Pm-3m (221)
* calculated density: 3.11 g cm⁻³
* offset from the most stable computed form: 493 meV/atom
* Fermi-level density of states: 5.933 states/eV per cell